Record 1
# Mn2TeW | the Alexandria database | PBE | optimized geometry
data_Mn2TeW
_chemical_formula_sum 'Mn6 Te3 W3'
_space_group_name_H-M_alt 'R 3 m'
_space_group_IT_number 160
_space_group_name_Hall 'R 3 -2"'
_cell_length_a 3.1582
_cell_length_b 3.1582
_cell_length_c 24.3169
_cell_angle_alpha 90.00
_cell_angle_beta 90.00
_cell_angle_gamma 120.00
loop_
_atom_site_label
_atom_site_fract_x
_atom_site_fract_y
_atom_site_fract_z
_atom_site_occupancy
Mn1 0.0000 0.0000 0.0000 1
Mn2 0.0000 0.0000 0.2537 1
Te1 0.0000 0.0000 0.4940 1
W1 0.0000 0.0000 0.7303 1
# raw formation energy = 0.6371 eV/atom
# M_tot = 13.46 Bohr magnetons per cell
# calculated total energy = -7.97 eV per atom
# DOS at the Fermi energy = 3.03 states/eV/f.u.



Record 2
# MnTeW2 | the Alexandria database | PBE | optimized geometry
data_MnTeW2
_chemical_formula_sum 'Mn1 Te1 W2'
_space_group_name_H-M_alt 'P 4 m m'
_space_group_IT_number 99
_cell_length_a 3.229
_cell_length_b 3.229
_cell_length_c 6.348
_cell_angle_alpha 90.00
_cell_angle_beta 90.00
_cell_angle_gamma 90.00
loop_
_space_group_symop_operation_xyz
'x,y,z'
'-y,x,z'
'-x,-y,z'
'y,-x,z'
'-x,y,z'
'y,x,z'
'x,-y,z'
'-y,-x,z'
loop_
_atom_site_label
_atom_site_fract_x
_atom_site_fract_y
_atom_site_fract_z
_atom_site_occupancy
Mn1 0.000 0.000 0.000 1
Te1 0.500 0.500 0.275 1
W1 0.000 0.000 0.547 1
W2 0.500 0.500 0.803 1
# raw formation energy = 0.4573 eV/atom
# M_tot = 1.36 Bohr magnetons per cell
# calculated total energy = -9.10 eV per atom
# DOS at the Fermi energy = 3.46 states/eV/f.u.



Record 3
# MnTe6W | the Alexandria database | PBE | optimized geometry
data_MnTe6W
_chemical_formula_sum 'Mn1 Te6 W1'
_space_group_name_H-M_alt 'P -1'
_space_group_IT_number 2
_cell_length_a 6.420
_cell_length_b 6.698
_cell_length_c 6.729
_cell_angle_alpha 88.19
_cell_angle_beta 63.26
_cell_angle_gamma 61.67
loop_
_space_group_symop_operation_xyz
'x,y,z'
'-x,-y,-z'
loop_
_atom_site_label
_atom_site_fract_x
_atom_site_fract_y
_atom_site_fract_z
_atom_site_occupancy
Mn1 0.000 0.000 0.000 1
Te1 0.123 0.590 0.808 1
Te2 0.168 0.783 0.282 1
Te3 0.493 0.099 0.295 1
W1 0.000 0.500 0.500 1
# raw formation energy = 0.0615 eV/atom
# M_tot = 2.45 Bohr magnetons per cell
# calculated total energy = -5.06 eV per atom
# DOS at the Fermi energy = 5.20 states/eV/f.u.



Record 4
# MnTeW2 | the Alexandria database | PBE | optimized geometry
data_MnTeW2
_chemical_formula_sum 'Mn1 Te1 W2'
_space_group_name_H-M_alt 'P m m m'
_space_group_IT_number 47
_cell_length_a 3.061
_cell_length_b 4.082
_cell_length_c 5.351
_cell_angle_alpha 90.00
_cell_angle_beta 90.00
_cell_angle_gamma 90.00
loop_
_space_group_symop_operation_xyz
'x,y,z'
'-x,-y,-z'
'-x,-y,z'
'x,y,-z'
'x,-y,-z'
'-x,y,z'
'-x,y,-z'
'x,-y,z'
loop_
_atom_site_label
_atom_site_fract_x
_atom_site_fract_y
_atom_site_fract_z
_atom_site_occupancy
Mn1 0.000 0.000 0.000 1
Te1 0.000 0.000 0.500 1
W1 0.500 0.500 0.231 1
# raw formation energy = 0.7058 eV/atom
# M_tot = 1.60 Bohr magnetons per cell
# calculated total energy = -8.85 eV per atom
# DOS at the Fermi energy = 3.32 states/eV/f.u.



Record 5
# Mn2TeW | the Alexandria database | PBE | optimized geometry
data_Mn2TeW
_chemical_formula_sum 'Mn6 Te3 W3'
_space_group_name_H-M_alt 'R -3 m'
_space_group_IT_number 166
_space_group_name_Hall '-R 3 2"'
_cell_length_a 3.1301
_cell_length_b 3.1301
_cell_length_c 23.5504
_cell_angle_alpha 90.00
_cell_angle_beta 90.00
_cell_angle_gamma 120.00
loop_
_atom_site_label
_atom_site_fract_x
_atom_site_fract_y
_atom_site_fract_z
_atom_site_occupancy
Mn1 0.0000 0.0000 0.2423 1
Te1 0.0000 0.0000 0.0000 1
W1 0.0000 0.0000 0.5000 1
# raw formation energy = 0.5167 eV/atom
# M_tot = 11.12 Bohr magnetons per cell
# calculated total energy = -8.09 eV per atom
# DOS at the Fermi energy = 4.15 states/eV/f.u.



Record 6
# MnTeW2 | the Alexandria database | PBE | optimized geometry
data_MnTeW2
_chemical_formula_sum 'Mn2 Te2 W4'
_space_group_name_H-M_alt 'I m m m'
_space_group_IT_number 71
_space_group_name_Hall '-I 2 2'
_cell_length_a 3.319
_cell_length_b 4.321
_cell_length_c 9.155
_cell_angle_alpha 90.00
_cell_angle_beta 90.00
_cell_angle_gamma 90.00
loop_
_atom_site_label
_atom_site_fract_x
_atom_site_fract_y
_atom_site_fract_z
_atom_site_occupancy
Mn1 0.000 0.000 0.000 1
Te1 0.000 0.000 0.500 1
W1 0.000 0.500 0.252 1
# raw formation energy = 0.6023 eV/atom
# M_tot = 3.50 Bohr magnetons per cell
# calculated total energy = -8.95 eV per atom
# DOS at the Fermi energy = 3.85 states/eV/f.u.



What did the third record say?
# MnTe6W | the Alexandria database | PBE | optimized geometry
data_MnTe6W
_chemical_formula_sum 'Mn1 Te6 W1'
_space_group_name_H-M_alt 'P -1'
_space_group_IT_number 2
_cell_length_a 6.420
_cell_length_b 6.698
_cell_length_c 6.729
_cell_angle_alpha 88.19
_cell_angle_beta 63.26
_cell_angle_gamma 61.67
loop_
_space_group_symop_operation_xyz
'x,y,z'
'-x,-y,-z'
loop_
_atom_site_label
_atom_site_fract_x
_atom_site_fract_y
_atom_site_fract_z
_atom_site_occupancy
Mn1 0.000 0.000 0.000 1
Te1 0.123 0.590 0.808 1
Te2 0.168 0.783 0.282 1
Te3 0.493 0.099 0.295 1
W1 0.000 0.500 0.500 1
# raw formation energy = 0.0615 eV/atom
# M_tot = 2.45 Bohr magnetons per cell
# calculated total energy = -5.06 eV per atom
# DOS at the Fermi energy = 5.20 states/eV/f.u.